Entry 1:
First-principles (PBE) data for crystalline Ho2Ga5Hg at its relaxed geometry, as listed in OQMD.

abc: 4.602 6.394 10.849
angles: 90.00 90.00 90.00
Positions (direct):
Ho1 0.000 0.000 0.000
Ho2 0.000 0.500 0.500
Ho3 0.500 0.000 0.321
Ho4 0.500 0.500 0.821
Ga1 0.000 0.228 0.743
Ga2 0.000 0.272 0.243
Ga3 0.000 0.728 0.243
Ga4 0.000 0.772 0.743
Ga5 0.500 0.000 0.812
Ga6 0.500 0.225 0.591
Ga7 0.500 0.275 0.091
Ga8 0.500 0.500 0.312
Ga9 0.500 0.725 0.091
Ga10 0.500 0.775 0.591
Hg1 0.000 0.000 0.498
Hg2 0.000 0.500 0.998

Results
The space group is No. 38.

Entry 2:
First-principles (PBE) data for crystalline TbHo2InGa2Hg3 at its relaxed geometry, as listed in OQMD.

abc: 4.463 7.363 7.363
angles: 120.08 90.00 90.00
Positions (direct):
Tb1 0.000 0.000 0.000
Ho1 0.000 0.132 0.566
Ho2 0.000 0.566 0.132
In1 0.000 0.565 0.565
Ga1 0.500 0.234 0.899
Ga2 0.500 0.899 0.234
Hg1 0.500 0.302 0.302
Hg2 0.500 0.566 0.830
Hg3 0.500 0.830 0.566

Results
The space group is No. 38.

Entry 3:
First-principles (PBE) data for crystalline Tb2HoInGa2Hg3 at its relaxed geometry, as listed in OQMD.

abc: 4.467 7.373 7.373
angles: 119.90 90.00 90.00
Positions (direct):
Tb1 0.000 0.217 0.783
Tb2 0.000 0.783 0.217
Ho1 0.000 0.349 0.349
In1 0.000 0.782 0.782
Ga1 0.500 0.117 0.449
Ga2 0.500 0.449 0.117
Hg1 0.500 0.047 0.047
Hg2 0.500 0.519 0.783
Hg3 0.500 0.783 0.519

Results
The space group is No. 38.

Entry 4:
First-principles (PBE) data for crystalline Ho2TmInGa2Hg3 at its relaxed geometry, as listed in OQMD.

abc: 4.452 7.318 7.318
angles: 119.89 90.00 90.00
Positions (direct):
Ho1 0.000 0.219 0.781
Ho2 0.000 0.781 0.219
Tm1 0.000 0.658 0.658
In1 0.000 0.220 0.220
Ga1 0.500 0.553 0.885
Ga2 0.500 0.885 0.553
Hg1 0.500 0.219 0.483
Hg2 0.500 0.483 0.219
Hg3 0.500 0.955 0.955

Results
The space group is No. 38.

Entry 5:
First-principles (PBE) data for crystalline Ho3Mg3GaHg2 at its relaxed geometry, as listed in OQMD.

abc: 7.740 7.740 4.131
angles: 90.00 90.00 120.00
Positions (direct):
Ho1 0.000 0.593 0.000
Ho2 0.407 0.407 0.000
Ho3 0.593 0.000 0.000
Mg1 0.000 0.244 0.500
Mg2 0.244 0.000 0.500
Mg3 0.756 0.756 0.500
Ga1 0.000 0.000 0.000
Hg1 0.333 0.667 0.500
Hg2 0.667 0.333 0.500

Results
The space group is No. 189.

Entry 6:
First-principles (PBE) data for crystalline In2GaHg at its relaxed geometry, as listed in OQMD.

abc: 7.376 7.376 7.376
angles: 90.00 90.00 90.00
Positions (direct):
In1 0.000 0.000 0.000
In2 0.000 0.500 0.500
In3 0.250 0.250 0.250
In4 0.250 0.750 0.750
In5 0.500 0.000 0.500
In6 0.500 0.500 0.000
In7 0.750 0.250 0.750
In8 0.750 0.750 0.250
Ga1 0.000 0.000 0.500
Ga2 0.000 0.500 0.000
Ga3 0.500 0.000 0.000
Ga4 0.500 0.500 0.500
Hg1 0.250 0.250 0.750
Hg2 0.250 0.750 0.250
Hg3 0.750 0.250 0.250
Hg4 0.750 0.750 0.750

Results
The space group is No. 216.

Entry 7:
First-principles (PBE) data for crystalline InGa2Hg at its relaxed geometry, as listed in OQMD.

abc: 7.147 7.147 7.147
angles: 90.00 90.00 90.00
Positions (direct):
In1 0.000 0.000 0.000
In2 0.000 0.500 0.500
In3 0.500 0.000 0.500
In4 0.500 0.500 0.000
Ga1 0.000 0.000 0.500
Ga2 0.000 0.500 0.000
Ga3 0.250 0.250 0.750
Ga4 0.250 0.750 0.250
Ga5 0.500 0.000 0.000
Ga6 0.500 0.500 0.500
Ga7 0.750 0.250 0.250
Ga8 0.750 0.750 0.750
Hg1 0.250 0.250 0.250
Hg2 0.250 0.750 0.750
Hg3 0.750 0.250 0.750
Hg4 0.750 0.750 0.250

Results
The space group is No. 216.

Entry 8:
First-principles (PBE) data for crystalline Li4In2GaHg at its relaxed geometry, as listed in OQMD.

abc: 4.673 4.673 6.647
angles: 90.00 90.00 90.00
Positions (direct):
Li1 0.000 0.000 0.000
Li2 0.000 0.500 0.747
Li3 0.500 0.000 0.253
Li4 0.500 0.500 0.500
In1 0.000 0.500 0.258
In2 0.500 0.000 0.742
Ga1 0.000 0.000 0.500
Hg1 0.500 0.500 0.000

Results
The space group is No. 115.

One value per record, in order, for total energy: -0.130 -0.113 -0.114 -0.112 -0.105 -0.079 -0.081 -0.087 Ha/atom.